Version 1
The following is a PBE calculation of KHg2IrPb after structural relaxation, from Alexandria via LeMat-Bulk.

```
5
Lattice="5.335 0.000 0.000 0.000 5.335 0.000 0.000 0.000 5.799" Properties=species:S:1:pos:R:3 pbc="T T T"
K 0.000 0.000 0.000
Hg 0.000 2.668 0.000
Hg 2.668 0.000 0.000
Ir 0.000 0.000 2.900
Pb 2.668 2.668 2.900
```

Values from the calculation:
The calculation puts the volume at 33.02 Å³/atom. As for the space group: P4/mmm (123). For the calculated density, the calculation gives 8.45 g/cm3.



Version 2
The following is a PBE calculation of KHg2IrPb after structural relaxation, from Alexandria via LeMat-Bulk.

```
5
Lattice="5.423 0.000 0.000 0.000 5.423 0.000 0.000 0.000 5.175" Properties=species:S:1:pos:R:3 pbc="T T T"
K 0.000 0.000 0.000
Hg 0.000 2.711 2.588
Hg 2.711 0.000 2.588
Ir 2.711 2.711 2.588
Pb 2.711 2.711 0.000
```

Values from the calculation:
The calculation puts the volume at 30.44 Å³/atom. As for the space group: P4/mmm (123). For the calculated density, the calculation gives 9.16 g/cm3.



Stability check: which of them is least stable? version 1.



Version 1
The following is a PBE calculation of KZnHg2Ir after structural relaxation, from Alexandria via LeMat-Bulk.

```
5
Lattice="5.074 0.000 0.000 0.000 5.074 0.000 0.000 0.000 5.737" Properties=species:S:1:pos:R:3 pbc="T T T"
K 0.000 0.000 0.000
Zn 0.000 0.000 2.868
Hg 0.000 2.537 2.868
Hg 2.537 0.000 2.868
Ir 2.537 2.537 0.000
```

Values from the calculation:
The calculation puts the volume at 29.54 Å³/atom. As for the space group: P4/mmm (123). For the calculated density, the calculation gives 7.85 g/cm3.



Version 2
The following is a PBE calculation of KZnHg2Ir after structural relaxation, from Alexandria via LeMat-Bulk.

```
5
Lattice="6.869 0.000 0.000 0.000 6.869 0.000 0.000 0.000 6.130" Properties=species:S:1:pos:R:3 pbc="T T T"
K 0.000 0.000 0.000
Zn 3.434 3.434 3.065
Hg 0.000 3.434 0.000
Hg 3.434 0.000 0.000
Ir 0.000 0.000 3.065
```

Values from the calculation:
The calculation puts the volume at 57.84 Å³/atom. As for the space group: P4/mmm (123). For the calculated density, the calculation gives 4.01 g/cm3.



Version 3
The following is a PBE calculation of KZnHg2Ir after structural relaxation, from Alexandria via LeMat-Bulk.

```
5
Lattice="5.337 0.000 0.000 0.000 5.337 0.000 0.000 0.000 4.893" Properties=species:S:1:pos:R:3 pbc="T T T"
K 0.000 0.000 0.000
Zn 2.669 2.669 0.000
Hg 0.000 2.669 2.447
Hg 2.669 0.000 2.447
Ir 2.669 2.669 2.447
```

Values from the calculation:
The calculation puts the volume at 27.88 Å³/atom. As for the space group: P4/mmm (123). For the calculated density, the calculation gives 8.31 g/cm3.



Stability check: which of them is least stable? version 2.



Version 1
The following is a PBE calculation of La8Hg2Ir after structural relaxation, from Alexandria via LeMat-Bulk.

```
11
Lattice="-2.411 4.740 7.395 2.411 -4.740 7.395 2.411 4.740 -7.395" Properties=species:S:1:pos:R:3 pbc="T T T"
La 0.000 0.000 1.757
La 2.411 2.608 -2.199
La 0.000 3.275 0.000
La 2.411 2.608 2.199
La 0.000 2.132 5.196
La 0.000 6.206 0.000
La 0.000 2.132 9.595
La 0.000 0.000 13.034
Hg 2.411 0.000 4.330
Hg 0.000 4.740 3.065
Ir 2.411 0.000 0.000
```

Values from the calculation:
The calculation puts the volume at 30.73 Å³/atom. As for the space group: Immm (71). For the calculated density, the calculation gives 8.37 g/cm3.



Version 2
The following is a PBE calculation of La8Hg2Ir after structural relaxation, from Alexandria via LeMat-Bulk.

```
11
Lattice="9.621 -2.736 0.000 9.621 2.736 0.000 -2.523 0.000 6.594" Properties=species:S:1:pos:R:3 pbc="T T T"
La -0.268 0.000 1.529
La 3.728 0.000 0.628
La 4.868 0.000 4.499
La 7.267 0.000 1.736
La 9.452 0.000 4.858
La 11.851 0.000 2.095
La 12.992 0.000 5.966
La 16.987 0.000 5.066
Hg 1.677 0.000 4.052
Hg 15.042 0.000 2.542
Ir 9.621 0.000 0.000
```

Values from the calculation:
The calculation puts the volume at 31.56 Å³/atom. As for the space group: C2/m (12). For the calculated density, the calculation gives 8.15 g/cm3.



Stability check: which of them is least stable? version 1.



Version 1
The following is a PBE calculation of La3HgIr after structural relaxation, from Alexandria via LeMat-Bulk.

```
5
Lattice="5.609 0.000 0.000 0.000 5.609 0.000 0.000 0.000 5.609" Properties=species:S:1:pos:R:3 pbc="T T T"
La 0.000 0.000 2.805
La 0.000 2.805 0.000
La 2.805 0.000 0.000
Hg 2.805 2.805 2.805
Ir 0.000 0.000 0.000
```

Values from the calculation:
The calculation puts the volume at 35.30 Å³/atom. As for the space group: Pm-3m (221). For the calculated density, the calculation gives 7.62 g/cm3.



Version 2
The following is a PBE calculation of La3HgIr after structural relaxation, from Alexandria via LeMat-Bulk.

```
20
Lattice="8.557 0.000 0.000 0.000 4.794 0.000 0.000 0.000 14.805" Properties=species:S:1:pos:R:3 pbc="T T T"
La 0.001 1.199 1.600
La 8.556 3.596 13.205
La 1.200 1.199 7.621
La 1.458 3.596 4.273
La 2.820 1.199 11.675
La 3.079 3.596 0.219
La 4.280 1.199 5.802
La 4.277 3.596 9.003
La 5.479 1.199 14.586
La 5.737 3.596 3.130
La 7.099 1.199 10.532
La 7.357 3.596 7.183
Hg 0.998 3.596 9.966
Hg 3.281 1.199 2.563
Hg 5.276 3.596 12.241
Hg 7.559 1.199 4.839
Ir 1.655 1.199 14.085
Ir 2.624 3.596 6.683
Ir 5.933 1.199 8.122
Ir 6.903 3.596 0.720
```

Values from the calculation:
The calculation puts the volume at 30.37 Å³/atom. As for the space group: Pnma (62). For the calculated density, the calculation gives 8.85 g/cm3.



Stability check: which of them is least stable? version 1.



Version 1
The following is a PBE calculation of LiLa2HgIr after structural relaxation, from Alexandria via LeMat-Bulk.

```
5
Lattice="5.509 0.000 0.000 0.000 5.509 0.000 0.000 0.000 4.924" Properties=species:S:1:pos:R:3 pbc="T T T"
Li 0.000 0.000 0.000
La 0.000 2.755 2.462
La 2.755 0.000 2.462
Hg 2.755 2.755 0.000
Ir 0.000 0.000 2.462
```

Values from the calculation:
The calculation puts the volume at 29.89 Å³/atom. As for the space group: P4/mmm (123). For the calculated density, the calculation gives 7.53 g/cm3.



Version 2
The following is a PBE calculation of LiLa2HgIr after structural relaxation, from Alexandria via LeMat-Bulk.

```
5
Lattice="5.510 0.000 0.000 0.000 5.510 0.000 0.000 0.000 5.373" Properties=species:S:1:pos:R:3 pbc="T T T"
Li 0.000 0.000 0.000
La 0.000 2.755 2.686
La 2.755 0.000 2.686
Hg 2.755 2.755 0.000
Ir 2.755 2.755 2.686
```

Values from the calculation:
The calculation puts the volume at 32.63 Å³/atom. As for the space group: P4/mmm (123). For the calculated density, the calculation gives 6.90 g/cm3.



Stability check: which of them is least stable? version 2.



Version 1
The following is a PBE calculation of NaLa2HgIr after structural relaxation, from Alexandria via LeMat-Bulk.

```
5
Lattice="5.479 0.000 0.000 0.000 5.479 0.000 0.000 0.000 5.544" Properties=species:S:1:pos:R:3 pbc="T T T"
Na 0.000 0.000 0.000
La 0.000 2.739 2.772
La 2.739 0.000 2.772
Hg 2.739 2.739 0.000
Ir 0.000 0.000 2.772
```

Values from the calculation:
The calculation puts the volume at 33.28 Å³/atom. As for the space group: P4/mmm (123). For the calculated density, the calculation gives 6.92 g/cm3.



Version 2
The following is a PBE calculation of NaLa2HgIr after structural relaxation, from Alexandria via LeMat-Bulk.

```
5
Lattice="5.540 0.000 0.000 0.000 5.540 0.000 0.000 0.000 5.427" Properties=species:S:1:pos:R:3 pbc="T T T"
Na 0.000 0.000 0.000
La 0.000 2.770 2.714
La 2.770 0.000 2.714
Hg 2.770 2.770 0.000
Ir 2.770 2.770 2.714
```

Values from the calculation:
The calculation puts the volume at 33.31 Å³/atom. As for the space group: P4/mmm (123). For the calculated density, the calculation gives 6.91 g/cm3.



Stability check: which of them is least stable? version 1.



Version 1
The following is a PBE calculation of La2SnHgIr after structural relaxation, from Alexandria via LeMat-Bulk.

```
10
Lattice="7.977 0.000 0.000 0.000 4.497 0.000 -2.934 0.000 7.645" Properties=species:S:1:pos:R:3 pbc="T T T"
La -0.391 1.124 1.699
La 0.862 3.373 4.684
La 4.181 1.124 2.961
La 5.434 3.373 5.946
Sn -0.110 1.124 7.284
Sn 5.153 3.373 0.361
Hg 2.014 3.373 1.526
Hg 3.028 1.124 6.119
Ir -1.038 1.124 4.738
Ir 6.081 3.373 2.907
```

Values from the calculation:
The calculation puts the volume at 27.42 Å³/atom. As for the space group: P2_1/m (11). For the calculated density, the calculation gives 9.56 g/cm3.



Version 2
The following is a PBE calculation of La2SnHgIr after structural relaxation, from Alexandria via LeMat-Bulk.

```
5
Lattice="5.589 0.000 0.000 0.000 5.589 0.000 0.000 0.000 5.089" Properties=species:S:1:pos:R:3 pbc="T T T"
La 0.000 2.794 0.000
La 2.794 0.000 0.000
Sn 0.000 0.000 2.544
Hg 2.794 2.794 2.544
Ir 0.000 0.000 0.000
```

Values from the calculation:
The calculation puts the volume at 31.79 Å³/atom. As for the space group: P4/mmm (123). For the calculated density, the calculation gives 8.25 g/cm3.



Stability check: which of them is least stable? version 2.



Version 1
The following is a PBE calculation of La2TlHgIr after structural relaxation, from Alexandria via LeMat-Bulk.

```
10
Lattice="8.619 0.000 0.000 0.000 4.219 0.000 -1.769 0.000 8.599" Properties=species:S:1:pos:R:3 pbc="T T T"
La 0.638 1.055 3.220
La -0.134 1.055 8.208
La 6.984 3.164 0.391
La 6.212 3.164 5.379
Tl 3.625 3.164 2.846
Tl 3.225 1.055 5.753
Hg 0.960 3.164 5.803
Hg 5.890 1.055 2.797
Ir 1.193 3.164 1.482
Ir 5.656 1.055 7.117
```

Values from the calculation:
The calculation puts the volume at 31.27 Å³/atom. As for the space group: P2_1/m (11). For the calculated density, the calculation gives 9.29 g/cm3.



Version 2
The following is a PBE calculation of La2TlHgIr after structural relaxation, from Alexandria via LeMat-Bulk.

```
5
Lattice="5.478 0.000 0.000 0.000 5.478 0.000 0.000 0.000 5.317" Properties=species:S:1:pos:R:3 pbc="T T T"
La 0.000 2.739 0.000
La 2.739 0.000 0.000
Tl 0.000 0.000 2.658
Hg 2.739 2.739 2.658
Ir 2.739 2.739 0.000
```

Values from the calculation:
The calculation puts the volume at 31.91 Å³/atom. As for the space group: P4/mmm (123). For the calculated density, the calculation gives 9.11 g/cm3.



Stability check: which of them is least stable? version 2.



Version 1
The following is a PBE calculation of LaYHgIr after structural relaxation, from Alexandria via LeMat-Bulk.

```
4
Lattice="0.000 3.661 3.661 3.661 0.000 3.661 3.661 3.661 0.000" Properties=species:S:1:pos:R:3 pbc="T T T"
La 0.000 0.000 0.000
Y 3.661 3.661 3.661
Hg 1.830 1.830 1.830
Ir 5.491 5.491 5.491
```

Values from the calculation:
The calculation puts the volume at 24.53 Å³/atom. As for the space group: F-43m (216). For the calculated density, the calculation gives 10.50 g/cm3.



Version 2
The following is a PBE calculation of LaYHgIr after structural relaxation, from Alexandria via LeMat-Bulk.

```
4
Lattice="2.084 1.203 7.622 -2.084 1.203 7.622 0.000 -2.407 7.622" Properties=species:S:1:pos:R:3 pbc="T T T"
La 0.000 0.000 0.000
Y 0.000 0.000 18.254
Hg 0.000 0.000 5.184
Ir 0.000 0.000 9.142
```

Values from the calculation:
The calculation puts the volume at 28.66 Å³/atom. As for the space group: R3m (160). For the calculated density, the calculation gives 8.99 g/cm3.



Stability check: which of them is least stable? version 1.



Version 1
The following is a PBE calculation of Li2Hg2Ir after structural relaxation, from Alexandria via LeMat-Bulk.

```
10
Lattice="7.019 0.000 0.000 0.000 7.019 0.000 0.000 0.000 3.211" Properties=species:S:1:pos:R:3 pbc="T T T"
Li 0.947 2.562 0.000
Li 2.562 6.072 0.000
Li 4.457 0.947 0.000
Li 6.072 4.457 0.000
Hg 1.165 4.675 1.605
Hg 2.345 1.165 1.605
Hg 4.675 5.854 1.605
Hg 5.854 2.345 1.605
Ir 0.000 0.000 0.000
Ir 3.510 3.510 0.000
```

Values from the calculation:
The calculation puts the volume at 15.82 Å³/atom. As for the space group: P4/mbm (127). For the calculated density, the calculation gives 12.75 g/cm3.



Version 2
The following is a PBE calculation of Li2Hg2Ir after structural relaxation, from Alexandria via LeMat-Bulk.

```
10
Lattice="7.260 0.000 0.000 0.000 7.260 0.000 0.000 0.000 3.264" Properties=species:S:1:pos:R:3 pbc="T T T"
Li 1.172 2.458 0.000
Li 2.458 6.088 0.000
Li 4.802 1.172 0.000
Li 6.088 4.802 0.000
Hg 1.053 4.683 1.632
Hg 2.577 1.053 1.632
Hg 4.683 6.207 1.632
Hg 6.207 2.577 1.632
Ir 0.000 0.000 1.632
Ir 3.630 3.630 1.632
```

Values from the calculation:
The calculation puts the volume at 17.20 Å³/atom. As for the space group: P4/mbm (127). For the calculated density, the calculation gives 11.72 g/cm3.



Stability check: which of them is least stable? version 1.



Version 1
The following is a PBE calculation of Lu2HgIr after structural relaxation, from Alexandria via LeMat-Bulk.

```
4
Lattice="0.000 3.489 3.489 3.489 0.000 3.489 3.489 3.489 0.000" Properties=species:S:1:pos:R:3 pbc="T T T"
Lu 1.744 1.744 1.744
Lu 5.233 5.233 5.233
Hg 0.000 0.000 0.000
Ir 3.489 3.489 3.489
```

Values from the calculation:
The calculation puts the volume at 21.23 Å³/atom. As for the space group: Fm-3m (225). For the calculated density, the calculation gives 14.53 g/cm3.



Version 2
The following is a PBE calculation of Lu2HgIr after structural relaxation, from Alexandria via LeMat-Bulk.

```
4
Lattice="3.436 0.000 0.000 0.000 3.436 0.000 0.000 0.000 7.335" Properties=species:S:1:pos:R:3 pbc="T T T"
Lu 0.000 0.000 1.607
Lu 0.000 0.000 5.727
Hg 1.718 1.718 3.667
Ir 1.718 1.718 0.000
```

Values from the calculation:
The calculation puts the volume at 21.64 Å³/atom. As for the space group: P4/mmm (123). For the calculated density, the calculation gives 14.25 g/cm3.



Stability check: which of them is least stable? version 1.



Version 1
The following is a PBE calculation of Mg6HgIr after structural relaxation, from Alexandria via LeMat-Bulk.

```
8
Lattice="3.207 -4.989 0.000 3.207 4.989 0.000 -2.059 0.000 5.998" Properties=species:S:1:pos:R:3 pbc="T T T"
Mg 0.937 1.940 1.408
Mg -0.055 0.000 4.506
Mg 0.937 -1.940 1.408
Mg 3.417 1.940 4.590
Mg 4.410 0.000 1.492
Mg 3.417 -1.940 4.590
Hg 2.177 0.000 2.999
Ir 0.000 0.000 0.000
```

Values from the calculation:
The calculation puts the volume at 23.99 Å³/atom. As for the space group: C2/m (12). For the calculated density, the calculation gives 4.66 g/cm3.



Version 2
The following is a PBE calculation of Mg6HgIr after structural relaxation, from Alexandria via LeMat-Bulk.

```
8
Lattice="2.359 1.362 7.859 -2.359 1.362 7.859 0.000 -2.724 7.859" Properties=species:S:1:pos:R:3 pbc="T T T"
Mg 0.000 0.000 2.812
Mg 0.000 0.000 6.011
Mg 0.000 0.000 8.737
Mg 0.000 0.000 14.840
Mg 0.000 0.000 17.567
Mg 0.000 0.000 20.765
Hg 0.000 0.000 11.789
Ir 0.000 0.000 0.000
```

Values from the calculation:
The calculation puts the volume at 18.94 Å³/atom. As for the space group: R-3m (166). For the calculated density, the calculation gives 5.90 g/cm3.



Stability check: which of them is least stable? version 1.